(1)
Density functional theory data (GGA-PBE) for a geometry-optimized NaAlSn2Ge structure.

Cell lengths 5.5484, 5.5484, 4.9146 Å; angles 90.00, 90.00, 90.00 degrees
Space group P4/mmm (No. 123)
Symmetry-distinct sites (fractional):
1 Na 0.0000 0.0000 0.0000 (multiplicity 1)
2 Al 0.5000 0.5000 0.0000 (multiplicity 1)
3 Sn 0.0000 0.5000 0.5000 (multiplicity 2)
4 Ge 0.5000 0.5000 0.5000 (multiplicity 1)

Output
**D(E_F)**: 2.9 states/eV/cell
**Raw total energy**: -15.798 eV for the cell shown
**Energy of formation**: 377 meV per atom
**Spin magnetization**: 0.000 μB/atom
**Theoretical density**: 3.95 g cm⁻³
**Crystal system**: tetragonal

(2)
Density functional theory data (GGA-PBE) for a geometry-optimized Na2SrAlGe2 structure.

Cell lengths 4.4805, 8.6510, 7.7719 Å; angles 90.00, 90.00, 90.00 degrees
Space group Pmc2_1 (No. 26)
Symmetry-distinct sites (fractional):
1 Na 0.0000 0.0727 0.0000 (multiplicity 2)
2 Na 0.5000 0.1581 0.3200 (multiplicity 2)
3 Sr 0.5000 0.4340 0.9787 (multiplicity 2)
4 Al 0.0000 0.3218 0.6279 (multiplicity 2)
5 Ge 0.0000 0.3842 0.2745 (multiplicity 2)
6 Ge 0.5000 0.1692 0.6955 (multiplicity 2)

Output
**D(E_F)**: 8.6 states/eV/cell
**Raw total energy**: -37.729 eV for the cell shown
**Energy of formation**: -261 meV per atom
**Spin magnetization**: 0.000 μB/atom
**Theoretical density**: 3.37 g cm⁻³
**Crystal system**: orthorhombic

(3)
Density functional theory data (GGA-PBE) for a geometry-optimized NaSrAl2Ge2 structure.

Cell lengths 4.6547, 4.6547, 7.1447 Å; angles 90.00, 90.00, 120.00 degrees
Space group P-3m1 (No. 164)
Symmetry-distinct sites (fractional):
1 Na 0.0000 0.0000 0.0000 (multiplicity 1)
2 Sr 0.0000 0.0000 0.5000 (multiplicity 1)
3 Al 0.3333 0.6667 0.1657 (multiplicity 2)
4 Ge 0.3333 0.6667 0.7838 (multiplicity 2)

Output
**D(E_F)**: 2.1 states/eV/cell
**Raw total energy**: -21.196 eV for the cell shown
**Energy of formation**: -246 meV per atom
**Spin magnetization**: 0.000 μB/atom
**Theoretical density**: 3.84 g cm⁻³
**Crystal system**: trigonal

(4)
Density functional theory data (GGA-PBE) for a geometry-optimized Na2TbAlGe2 structure.

Cell lengths 4.3102, 8.7630, 7.2643 Å; angles 90.00, 90.00, 90.00 degrees
Space group Pmc2_1 (No. 26)
Symmetry-distinct sites (fractional):
1 Na 0.0000 0.0816 0.0000 (multiplicity 2)
2 Na 0.5000 0.1599 0.3171 (multiplicity 2)
3 Tb 0.5000 0.4434 0.9627 (multiplicity 2)
4 Al 0.0000 0.3232 0.6271 (multiplicity 2)
5 Ge 0.0000 0.3901 0.2541 (multiplicity 2)
6 Ge 0.5000 0.1781 0.7182 (multiplicity 2)

Output
**D(E_F)**: 0.9 states/eV/cell
**Raw total energy**: -45.392 eV for the cell shown
**Energy of formation**: -408 meV per atom
**Spin magnetization**: 0.000 μB/atom
**Theoretical density**: 4.57 g cm⁻³
**Crystal system**: orthorhombic

(5)
Density functional theory data (GGA-PBE) for a geometry-optimized Na2AlGeTe4 structure.

Cell lengths 9.1170, 8.8543, 7.2732 Å; angles 90.00, 90.00, 90.00 degrees
Space group Pmn2_1 (No. 31)
Symmetry-distinct sites (fractional):
1 Na 0.2488 0.1640 0.0000 (multiplicity 4)
2 Al 0.0000 0.3557 0.5192 (multiplicity 2)
3 Ge 0.0000 0.6633 0.0093 (multiplicity 2)
4 Te 0.0000 0.3784 0.8807 (multiplicity 2)
5 Te 0.0000 0.6287 0.3799 (multiplicity 2)
6 Te 0.2297 0.1880 0.4291 (multiplicity 4)

Output
**D(E_F)**: 6.0 states/eV/cell
**Raw total energy**: -54.741 eV for the cell shown
**Spin magnetization**: 0.000 μB/atom
**Theoretical density**: 3.71 g cm⁻³
**Crystal system**: orthorhombic

(6)
Density functional theory data (GGA-PBE) for a geometry-optimized NaAlGeTe3 structure.

Cell lengths 9.0194, 4.3154, 11.3853 Å; angles 90.00, 109.21, 90.00 degrees
Space group P2_1/m (No. 11)
Symmetry-distinct sites (fractional):
1 Na 0.1953 0.2500 0.1541 (multiplicity 2)
2 Al 0.0702 0.2500 0.6250 (multiplicity 2)
3 Ge 0.3388 0.7500 0.8848 (multiplicity 2)
4 Te 0.0670 0.2500 0.8481 (multiplicity 2)
5 Te 0.2111 0.7500 0.5594 (multiplicity 2)
6 Te 0.4501 0.7500 0.1418 (multiplicity 2)

Output
**D(E_F)**: 0.1 states/eV/cell
**Raw total energy**: -43.384 eV for the cell shown
**Spin magnetization**: 0.000 μB/atom
**Theoretical density**: 4.01 g cm⁻³
**Crystal system**: monoclinic

(7)
Density functional theory data (GGA-PBE) for a geometry-optimized Na2TmAlGe2 structure.

Cell lengths 4.2805, 8.7471, 7.1506 Å; angles 90.00, 90.00, 90.00 degrees
Space group Pmc2_1 (No. 26)
Symmetry-distinct sites (fractional):
1 Na 0.0000 0.0815 0.0000 (multiplicity 2)
2 Na 0.5000 0.1610 0.3141 (multiplicity 2)
3 Tm 0.5000 0.4451 0.9592 (multiplicity 2)
4 Al 0.0000 0.3240 0.6253 (multiplicity 2)
5 Ge 0.0000 0.3909 0.2499 (multiplicity 2)
6 Ge 0.5000 0.1793 0.7213 (multiplicity 2)

Output
**D(E_F)**: 0.9 states/eV/cell
**Raw total energy**: -44.915 eV for the cell shown
**Energy of formation**: -395 meV per atom
**Spin magnetization**: 0.000 μB/atom
**Theoretical density**: 4.80 g cm⁻³
**Crystal system**: orthorhombic

(8)
Density functional theory data (GGA-PBE) for a geometry-optimized Na2Al4ZnGe3 structure.

Cell lengths 4.3845, 4.3845, 10.7437 Å; angles 90.00, 90.00, 90.00 degrees
Space group P-4m2 (No. 115)
Symmetry-distinct sites (fractional):
1 Na 0.0000 0.5000 0.2398 (multiplicity 2)
2 Al 0.0000 0.0000 0.5000 (multiplicity 1)
3 Al 0.0000 0.5000 0.8681 (multiplicity 2)
4 Al 0.5000 0.5000 0.5000 (multiplicity 1)
5 Zn 0.5000 0.5000 0.0000 (multiplicity 1)
6 Ge 0.0000 0.0000 0.0000 (multiplicity 1)
7 Ge 0.0000 0.5000 0.6336 (multiplicity 2)

Output
**D(E_F)**: 2.5 states/eV/cell
**Raw total energy**: -33.407 eV for the cell shown
**Energy of formation**: -67 meV per atom
**Spin magnetization**: 0.000 μB/atom
**Theoretical density**: 3.52 g cm⁻³
**Crystal system**: tetragonal

(9)
Density functional theory data (GGA-PBE) for a geometry-optimized Nb2Al2Ge structure.

Cell lengths 6.7065, 6.7065, 3.7279 Å; angles 90.00, 90.00, 90.00 degrees
Space group P4/mbm (No. 127)
Symmetry-distinct sites (fractional):
1 Nb 0.1735 0.3265 0.0000 (multiplicity 4)
2 Al 0.1291 0.6291 0.5000 (multiplicity 4)
3 Ge 0.0000 0.0000 0.5000 (multiplicity 2)

Output
**D(E_F)**: 12.0 states/eV/cell
**Raw total energy**: -64.698 eV for the cell shown
**Energy of formation**: -21 meV per atom
**Polymorph energy (0 for the lowest one)**: 3.700 kcal/mol of atoms
**Spin magnetization**: 0.000 μB/atom
**Theoretical density**: 6.19 g cm⁻³
**Crystal system**: tetragonal

(10)
Density functional theory data (GGA-PBE) for a geometry-optimized Nb12Al3Ge structure.

Cell lengths 5.2128, 5.2131, 10.3744 Å; angles 90.00, 90.00, 90.00 degrees
Space group Pmmm (No. 47)
Symmetry-distinct sites (fractional):
1 Nb 0.0000 0.0000 0.1249 (multiplicity 2)
2 Nb 0.0000 0.0000 0.3751 (multiplicity 2)
3 Nb 0.2497 0.5000 0.0000 (multiplicity 2)
4 Nb 0.2525 0.5000 0.5000 (multiplicity 2)
5 Nb 0.5000 0.2511 0.2488 (multiplicity 4)
6 Al 0.0000 0.5000 0.2497 (multiplicity 2)
7 Al 0.5000 0.0000 0.5000 (multiplicity 1)
8 Ge 0.5000 0.0000 0.0000 (multiplicity 1)

Output
**D(E_F)**: 24.7 states/eV/cell
**Raw total energy**: -140.239 eV for the cell shown
**Energy of formation**: -222 meV per atom
**Spin magnetization**: 0.000 μB/atom
**Theoretical density**: 7.47 g cm⁻³
**Crystal system**: orthorhombic

(11)
Density functional theory data (GGA-PBE) for a geometry-optimized Nb2Al2Ge structure.

Cell lengths 6.7393, 6.7393, 4.0095 Å; angles 90.00, 90.00, 90.00 degrees
Space group P4/mbm (No. 127)
Symmetry-distinct sites (fractional):
1 Nb 0.1565 0.3435 0.0000 (multiplicity 4)
2 Al 0.1445 0.6445 0.5000 (multiplicity 4)
3 Ge 0.0000 0.0000 0.0000 (multiplicity 2)

Output
**D(E_F)**: 8.9 states/eV/cell
**Raw total energy**: -66.303 eV for the cell shown
**Energy of formation**: -182 meV per atom
**Polymorph energy (0 for the lowest one)**: 0.000 kcal/mol of atoms
**Spin magnetization**: 0.000 μB/atom
**Theoretical density**: 5.70 g cm⁻³
**Crystal system**: tetragonal

(12)
Density functional theory data (GGA-PBE) for a geometry-optimized Nb6AlGe3 structure.

Cell lengths 8.6454, 13.1565, 6.5114 Å; angles 90.00, 90.00, 90.00 degrees
Space group Cmc2_1 (No. 36)
Symmetry-distinct sites (fractional):
1 Nb 0.0000 0.0466 0.0000 (multiplicity 4)
2 Nb 0.0000 0.2658 0.7665 (multiplicity 4)
3 Nb 0.1941 0.4439 0.8323 (multiplicity 8)
4 Nb 0.2396 0.2131 0.0210 (multiplicity 8)
5 Al 0.0000 0.1785 0.3290 (multiplicity 4)
6 Ge 0.0000 0.4214 0.4957 (multiplicity 4)
7 Ge 0.1796 0.1060 0.6766 (multiplicity 8)

Output
**D(E_F)**: 27.2 states/eV/cell
**Raw total energy**: -318.491 eV for the cell shown
**Energy of formation**: -161 meV per atom
**Spin magnetization**: 0.000 μB/atom
**Theoretical density**: 7.20 g cm⁻³
**Crystal system**: orthorhombic

(13)
Density functional theory data (GGA-PBE) for a geometry-optimized Nb3AlGe structure.

Cell lengths 12.8237, 5.6330, 9.8905 Å; angles 90.00, 91.10, 90.00 degrees
Space group C2/c (No. 15)
Symmetry-distinct sites (fractional):
1 Nb 0.0527 0.2420 0.0856 (multiplicity 8)
2 Nb 0.1123 0.0072 0.8209 (multiplicity 8)
3 Nb 0.1911 0.4689 0.2968 (multiplicity 8)
4 Al 0.1467 0.2620 0.5610 (multiplicity 8)
5 Ge 0.0000 0.3847 0.7500 (multiplicity 4)
6 Ge 0.2500 0.2500 0.0000 (multiplicity 4)

Output
**D(E_F)**: 27.3 states/eV/cell
**Raw total energy**: -312.901 eV for the cell shown
**Energy of formation**: -109 meV per atom
**Polymorph energy (0 for the lowest one)**: 0.000 kcal/mol of atoms
**Spin magnetization**: 0.000 μB/atom
**Theoretical density**: 7.04 g cm⁻³
**Crystal system**: monoclinic

(14)
Density functional theory data (GGA-PBE) for a geometry-optimized Nb4Al2Ge structure.

Cell lengths 4.6102, 4.6102, 14.0917 Å; angles 90.00, 90.00, 90.00 degrees
Space group I4/mmm (No. 139)
Symmetry-distinct sites (fractional):
1 Nb 0.0000 0.0000 0.1766 (multiplicity 4)
2 Nb 0.0000 0.5000 0.0000 (multiplicity 4)
3 Al 0.0000 0.0000 0.3706 (multiplicity 4)
4 Ge 0.0000 0.0000 0.0000 (multiplicity 2)

Output
**D(E_F)**: 15.7 states/eV/cell
**Raw total energy**: -94.110 eV for the cell shown
**Energy of formation**: 761 meV per atom
**Spin magnetization**: 0.000 μB/atom
**Theoretical density**: 5.52 g cm⁻³
**Crystal system**: tetragonal

(15)
Density functional theory data (GGA-PBE) for a geometry-optimized Nb4AlGe2 structure.

Cell lengths 5.0175, 5.5633, 8.9363 Å; angles 90.00, 98.52, 90.00 degrees
Space group P2_1/m (No. 11)
Symmetry-distinct sites (fractional):
1 Nb 0.0408 0.2500 0.1973 (multiplicity 2)
2 Nb 0.1322 0.7500 0.4305 (multiplicity 2)
3 Nb 0.4187 0.0030 0.7316 (multiplicity 4)
4 Al 0.0396 0.7500 0.1245 (multiplicity 2)
5 Ge 0.3312 0.2500 0.4678 (multiplicity 2)
6 Ge 0.4900 0.2500 0.0061 (multiplicity 2)

Output
**D(E_F)**: 8.7 states/eV/cell
**Raw total energy**: -109.560 eV for the cell shown
**Energy of formation**: -218 meV per atom
**Spin magnetization**: 0.000 μB/atom
**Theoretical density**: 7.32 g cm⁻³
**Crystal system**: monoclinic

(16)
Density functional theory data (GGA-PBE) for a geometry-optimized NbAl2Ge structure.

Cell lengths 7.3884, 7.3884, 5.2982 Å; angles 90.00, 90.00, 90.00 degrees
Space group I-42d (No. 122)
Symmetry-distinct sites (fractional):
1 Nb 0.0000 0.0000 0.0000 (multiplicity 4)
2 Al 0.2240 0.2500 0.6250 (multiplicity 8)
3 Ge 0.0000 0.0000 0.5000 (multiplicity 4)

Output
**D(E_F)**: 15.8 states/eV/cell
**Raw total energy**: -84.788 eV for the cell shown
**Energy of formation**: 244 meV per atom
**Spin magnetization**: 0.000 μB/atom
**Theoretical density**: 5.04 g cm⁻³
**Crystal system**: tetragonal

(17)
Density functional theory data (GGA-PBE) for a geometry-optimized Nb5Al2Ge2 structure.

Cell lengths 16.9534, 5.2540, 7.0398 Å; angles 90.00, 90.00, 90.00 degrees
Space group Ima2 (No. 46)
Symmetry-distinct sites (fractional):
1 Nb 0.0967 0.1182 0.0000 (multiplicity 8)
2 Nb 0.1633 0.5935 0.8453 (multiplicity 8)
3 Nb 0.2500 0.0924 0.6746 (multiplicity 4)
4 Al 0.0685 0.6052 0.1494 (multiplicity 8)
5 Ge 0.0000 0.0000 0.3102 (multiplicity 4)
6 Ge 0.2500 0.5648 0.5335 (multiplicity 4)

Output
**D(E_F)**: 19.5 states/eV/cell
**Raw total energy**: -273.919 eV for the cell shown
**Energy of formation**: -157 meV per atom
**Spin magnetization**: 0.000 μB/atom
**Theoretical density**: 7.03 g cm⁻³
**Crystal system**: orthorhombic

(18)
Density functional theory data (GGA-PBE) for a geometry-optimized Nb3AlGe structure.

Cell lengths 4.7517, 4.7517, 4.7517 Å; angles 90.00, 90.00, 90.00 degrees
Space group Pm-3m (No. 221)
Symmetry-distinct sites (fractional):
1 Nb 0.0000 0.0000 0.5000 (multiplicity 3)
2 Al 0.5000 0.5000 0.5000 (multiplicity 1)
3 Ge 0.0000 0.0000 0.0000 (multiplicity 1)

Output
**D(E_F)**: 9.9 states/eV/cell
**Raw total energy**: -34.597 eV for the cell shown
**Energy of formation**: 794 meV per atom
**Polymorph energy (0 for the lowest one)**: 20.824 kcal/mol of atoms
**Spin magnetization**: 0.000 μB/atom
**Theoretical density**: 5.86 g cm⁻³
**Crystal system**: cubic

(19)
Density functional theory data (GGA-PBE) for a geometry-optimized NbAlGe2 structure.

Cell lengths 2.9444, 2.9444, 29.3636 Å; angles 90.00, 90.00, 120.00 degrees
Space group R-3m (No. 166, hexagonal axes)
Symmetry-distinct sites (fractional):
1 Nb 0.0000 0.0000 0.0000 (multiplicity 3)
2 Al 0.0000 0.0000 0.5000 (multiplicity 3)
3 Ge 0.0000 0.0000 0.4096 (multiplicity 6)

Output
**D(E_F)**: 3.7 states/eV/cell
**Raw total energy**: -69.468 eV for the cell shown
**Energy of formation**: -27 meV per atom
**Spin magnetization**: 0.000 μB/atom
**Theoretical density**: 5.99 g cm⁻³
**Crystal system**: trigonal

(20)
Density functional theory data (GGA-PBE) for a geometry-optimized Nb4AlGe structure.

Cell lengths 6.2901, 6.2901, 5.2857 Å; angles 90.00, 90.00, 90.00 degrees
Space group P4/mcc (No. 124)
Symmetry-distinct sites (fractional):
1 Nb 0.1542 0.3406 0.0000 (multiplicity 8)
2 Al 0.5000 0.5000 0.2500 (multiplicity 2)
3 Ge 0.0000 0.0000 0.2500 (multiplicity 2)

Output
**D(E_F)**: 7.3 states/eV/cell
**Raw total energy**: -100.932 eV for the cell shown
**Energy of formation**: -304 meV per atom
**Polymorph energy (0 for the lowest one)**: 0.000 kcal/mol of atoms
**Spin magnetization**: 0.000 μB/atom
**Theoretical density**: 7.48 g cm⁻³
**Crystal system**: tetragonal